A relaxed HfGaOs2Br crystal. Source: Alexandria via LeMat-Bulk, functional PBE-GGA.

As for the raw total energy: -5.876 eV per atom. As for the magnetization: 2.1 Bohr magnetons per cell. The calculation puts the density at 10.90 g cm⁻³. As for the formation energy from raw total energies: 1.546 eV per atom.

The structure belongs to space group P4/mmm (No. 123); the cell edges are 4.600, 4.600 and 5.101 Å and the angles 90.00°, 90.00° and 90.00°. The inequivalent atoms are Hf at (0.000, 0.000, 0.000), Ga at (0.000, 0.000, 0.500), Os at (0.000, 0.500, 0.500) and Br at (0.500, 0.500, 0.000).

=====

A relaxed CuAuBr crystal. Source: Alexandria via LeMat-Bulk, functional PBE-GGA.

As for the raw total energy: -2.880 eV per atom. As for the magnetization: 0.0 Bohr magnetons per cell. The calculation puts the density at 9.39 g cm⁻³. As for the formation energy from raw total energies: 0.136 eV per atom.

The structure belongs to space group P3m1 (No. 156); the cell edges are 3.4861, 3.4861 and 5.7220 Å and the angles 90.00°, 90.00° and 120.00°. The inequivalent atoms are Cu at (0.0000, 0.0000, 0.0000), Au at (0.6667, 0.3333, 0.2922) and Br at (0.3333, 0.6667, 0.7229).

=====

A relaxed BeNbSi2P crystal. Source: Alexandria via LeMat-Bulk, functional PBE-GGA.

As for the raw total energy: -4.679 eV per atom. As for the magnetization: 0.0 Bohr magnetons per cell. The calculation puts the density at 2.96 g cm⁻³. As for the formation energy from raw total energies: 1.331 eV per atom.

The structure belongs to space group P4/mmm (No. 123); the cell edges are 4.837, 4.837 and 4.531 Å and the angles 90.00°, 90.00° and 90.00°. The inequivalent atoms are Be at (0.000, 0.000, 0.000), Nb at (0.000, 0.000, 0.500), Si at (0.000, 0.500, 0.500) and P at (0.500, 0.500, 0.000).

=====

A relaxed CaY2F crystal. Source: Alexandria via LeMat-Bulk, functional PBE-GGA.

As for the raw total energy: -5.266 eV per atom. As for the magnetization: 0.0 Bohr magnetons per cell. The calculation puts the density at 3.27 g cm⁻³. As for the formation energy from raw total energies: -1.066 eV per atom.

The structure belongs to space group I-42d (No. 122); the cell edges are 7.376, 7.376 and 8.847 Å and the angles 90.00°, 90.00° and 90.00°. The inequivalent atoms are Ca at (0.000, 0.000, 0.000), Y at (0.103, 0.250, 0.625) and F at (0.000, 0.000, 0.500).

=====

A relaxed Rb2TaSeI6 crystal. Source: Alexandria via LeMat-Bulk, functional PBE-GGA.

As for the raw total energy: -3.223 eV per atom. As for the magnetization: 0.7 Bohr magnetons per cell. The calculation puts the density at 4.24 g cm⁻³. As for the formation energy from raw total energies: -0.566 eV per atom.

The structure belongs to space group I4/mmm (No. 139); the cell edges are 9.117, 9.117 and 11.225 Å and the angles 90.00°, 90.00° and 90.00°. The inequivalent atoms are Rb at (0.000, 0.500, 0.250), Ta at (0.000, 0.000, 0.000), Se at (0.000, 0.000, 0.500), I at (0.000, 0.000, 0.249) and I at (0.218, 0.218, 0.000).

=====

A relaxed Li8TbSn6 crystal. Source: Alexandria via LeMat-Bulk, functional PBE-GGA.

As for the raw total energy: -3.186 eV per atom. As for the magnetization: 0.0 Bohr magnetons per cell. The calculation puts the density at 4.51 g cm⁻³. The formation enthalpy at 0 K comes out at -0.256 eV per atom.

The structure belongs to space group R-3 (No. 148, hexagonal axes); the cell edges are 8.3336, 8.3336 and 17.0360 Å and the angles 90.00°, 90.00° and 120.00°. The inequivalent atoms are Li at (0.0000, 0.0000, 0.2320), Li at (0.0023, 0.3415, 0.0439), Tb at (0.0000, 0.0000, 0.5000) and Sn at (0.0011, 0.2874, 0.8824).

=====

A relaxed Sn2PdAu crystal. Source: Alexandria via LeMat-Bulk, functional PBE-GGA.

As for the raw total energy: -4.283 eV per atom. As for the magnetization: 0.0 Bohr magnetons per cell. The calculation puts the density at 10.82 g cm⁻³. The formation enthalpy at 0 K comes out at -0.164 eV per atom.

The structure belongs to space group Fm-3m (No. 225); the cell edges are 6.924, 6.924 and 6.924 Å and the angles 90.00°, 90.00° and 90.00°. The inequivalent atoms are Sn at (0.250, 0.250, 0.250), Pd at (0.000, 0.000, 0.000) and Au at (0.000, 0.000, 0.500).

=====

A relaxed Pr2BePd6Au crystal. Source: Alexandria via LeMat-Bulk, functional PBE-GGA.

As for the raw total energy: -5.342 eV per atom. As for the magnetization: 0.0 Bohr magnetons per cell. The calculation puts the density at 9.53 g cm⁻³. The formation enthalpy at 0 K comes out at -0.570 eV per atom.

The structure belongs to space group P-1 (No. 2); the cell edges are 5.535, 6.170 and 7.009 Å and the angles 76.06°, 66.80° and 63.52°. The inequivalent atoms are Pr at (0.224, 0.249, 0.300), Be at (0.000, 0.000, 0.000), Pd at (0.237, 0.797, 0.226), Pd at (0.246, 0.611, 0.901), Pd at (0.260, 0.202, 0.777) and Au at (0.500, 0.500, 0.500).

=====

A relaxed GaNiPb3 crystal. Source: Alexandria via LeMat-Bulk, functional PBE-GGA.

As for the raw total energy: -3.118 eV per atom. As for the magnetization: 0.0 Bohr magnetons per cell. The calculation puts the density at 7.79 g cm⁻³. The formation enthalpy at 0 K comes out at 0.869 eV per atom.

The structure belongs to space group Pm-3m (No. 221); the cell edges are 5.427, 5.427 and 5.427 Å and the angles 90.00°, 90.00° and 90.00°. The inequivalent atoms are Ga at (0.000, 0.000, 0.000), Ni at (0.500, 0.500, 0.500) and Pb at (0.000, 0.000, 0.500).

=====

A relaxed LiCe2As3Pd4 crystal. Source: Alexandria via LeMat-Bulk, functional PBE-GGA.

As for the raw total energy: -5.717 eV per atom. As for the magnetization: 1.3 Bohr magnetons per cell. The calculation puts the density at 8.25 g cm⁻³. The formation enthalpy at 0 K comes out at -0.867 eV per atom.

The structure belongs to space group P-4m2 (No. 115); the cell edges are 4.229, 4.229 and 10.546 Å and the angles 90.00°, 90.00° and 90.00°. The inequivalent atoms are Li at (0.000, 0.000, 0.000), Ce at (0.000, 0.500, 0.741), As at (0.000, 0.500, 0.360), As at (0.500, 0.500, 0.000), Pd at (0.000, 0.000, 0.500), Pd at (0.000, 0.500, 0.128) and Pd at (0.500, 0.500, 0.500).

=====

A relaxed MnPbAu2 crystal. Source: Alexandria via LeMat-Bulk, functional PBE-GGA.

As for the raw total energy: -4.720 eV per atom. As for the magnetization: 4.2 Bohr magnetons per cell. The calculation puts the density at 13.55 g cm⁻³. The formation enthalpy at 0 K comes out at 0.138 eV per atom.

The structure belongs to space group P4/mmm (No. 123); the cell edges are 4.422, 4.422 and 4.112 Å and the angles 90.00°, 90.00° and 90.00°. The inequivalent atoms are Mn at (0.000, 0.000, 0.000), Pb at (0.500, 0.500, 0.000) and Au at (0.000, 0.500, 0.500).

=====

A relaxed InRhCl2 crystal. Source: Alexandria via LeMat-Bulk, functional PBE-GGA.

As for the raw total energy: -3.889 eV per atom. As for the magnetization: 0.0 Bohr magnetons per cell. The calculation puts the density at 4.76 g cm⁻³. As for the formation energy from raw total energies: -0.443 eV per atom.

The structure belongs to space group Cm (No. 8); the cell edges are 7.377, 3.299 and 8.985 Å and the angles 90.00°, 113.03° and 90.00°. The inequivalent atoms are In at (0.000, 0.000, 0.000), Rh at (0.200, 0.000, 0.806), Cl at (0.040, 0.500, 0.623) and Cl at (0.172, 0.500, 0.232).

=====

A relaxed Al2TeBr crystal. Source: Alexandria via LeMat-Bulk, functional PBE-GGA.

As for the raw total energy: -3.166 eV per atom. As for the magnetization: 0.0 Bohr magnetons per cell. The calculation puts the density at 4.27 g cm⁻³. As for the formation energy from raw total energies: -0.091 eV per atom.

The structure belongs to space group P4mm (No. 99); the cell edges are 3.301, 3.301 and 9.336 Å and the angles 90.00°, 90.00° and 90.00°. The inequivalent atoms are Al at (0.000, 0.000, 0.000), Al at (0.500, 0.500, 0.188), Te at (0.500, 0.500, 0.795) and Br at (0.000, 0.000, 0.370).

=====

A relaxed Cr3NiPb crystal. Source: Alexandria via LeMat-Bulk, functional PBE-GGA.

As for the raw total energy: -6.681 eV per atom. As for the magnetization: 10.7 Bohr magnetons per cell. The calculation puts the density at 7.29 g cm⁻³. The formation enthalpy at 0 K comes out at 0.991 eV per atom.

The structure belongs to space group Pm-3m (No. 221); the cell edges are 4.581, 4.581 and 4.581 Å and the angles 90.00°, 90.00° and 90.00°. The inequivalent atoms are Cr at (0.000, 0.000, 0.500), Ni at (0.000, 0.000, 0.000) and Pb at (0.500, 0.500, 0.500).

=====

A relaxed YScRe2 crystal. Source: Alexandria via LeMat-Bulk, functional PBE-GGA.

As for the raw total energy: -9.146 eV per atom. As for the magnetization: 0.0 Bohr magnetons per cell. The calculation puts the density at 10.86 g cm⁻³. The formation enthalpy at 0 K comes out at 0.277 eV per atom.

The structure belongs to space group P2/m (No. 10); the cell edges are 2.933, 4.537 and 5.905 Å and the angles 90.00°, 99.77° and 90.00°. The inequivalent atoms are Y at (0.000, 0.000, 0.000), Sc at (0.500, 0.000, 0.500) and Re at (0.201, 0.500, 0.703).

=====

A relaxed K2YAg crystal. Source: Alexandria via LeMat-Bulk, functional PBE-GGA.

As for the raw total energy: -2.406 eV per atom. As for the magnetization: 0.0 Bohr magnetons per cell. The calculation puts the density at 3.03 g cm⁻³. The formation enthalpy at 0 K comes out at 0.472 eV per atom.

The structure belongs to space group Pmmm (No. 47); the cell edges are 3.778, 5.804 and 6.868 Å and the angles 90.00°, 90.00° and 90.00°. The inequivalent atoms are K at (0.000, 0.000, 0.228), Y at (0.500, 0.500, 0.500) and Ag at (0.500, 0.500, 0.000).

=====

A relaxed NdDy8Y4 crystal. Source: Alexandria via LeMat-Bulk, functional PBE-GGA.

As for the raw total energy: -4.996 eV per atom. As for the magnetization: 0.0 Bohr magnetons per cell. The calculation puts the density at 7.11 g cm⁻³. The formation enthalpy at 0 K comes out at 0.192 eV per atom.

The structure belongs to space group R-3m (No. 166, hexagonal axes); the cell edges are 7.3302, 7.3302 and 27.1027 Å and the angles 90.00°, 90.00° and 120.00°. The inequivalent atoms are Nd at (0.0000, 0.0000, 0.0000), Dy at (0.0000, 0.0000, 0.2818), Dy at (0.0381, 0.5190, 0.2688), Y at (0.0000, 0.0000, 0.5000) and Y at (0.0000, 0.5000, 0.5000).

=====

A relaxed Ag14SbAu crystal. Source: Alexandria via LeMat-Bulk, functional PBE-GGA.

As for the raw total energy: -2.925 eV per atom. As for the magnetization: 0.0 Bohr magnetons per cell. The calculation puts the density at 10.30 g cm⁻³. As for the formation energy from raw total energies: 0.032 eV per atom.

The structure belongs to space group Amm2 (No. 38); the cell edges are 9.648, 6.053 and 10.102 Å and the angles 90.00°, 90.00° and 90.00°. The inequivalent atoms are Ag at (0.000, 0.000, 0.000), Ag at (0.000, 0.000, 0.499), Ag at (0.000, 0.249, 0.750), Ag at (0.244, 0.000, 0.170), Ag at (0.245, 0.247, 0.922), Ag at (0.248, 0.000, 0.672), Ag at (0.500, 0.249, 0.090), Sb at (0.500, 0.000, 0.340) and Au at (0.500, 0.000, 0.840).

=====

A relaxed PuCdTe2 crystal. Source: Alexandria via LeMat-Bulk, functional PBE-GGA.

As for the raw total energy: -5.971 eV per atom. As for the magnetization: 17.1 Bohr magnetons per cell. The calculation puts the density at 7.97 g cm⁻³. As for the formation energy from raw total energies: -0.588 eV per atom.

The structure belongs to space group R3m (No. 160, hexagonal axes); the cell edges are 4.4143, 4.4143 and 22.6415 Å and the angles 90.00°, 90.00° and 120.00°. The inequivalent atoms are Pu at (0.0000, 0.0000, 0.0000), Cd at (0.0000, 0.0000, 0.8350), Te at (0.0000, 0.0000, 0.4164) and Te at (0.0000, 0.0000, 0.5877).

=====

A relaxed RuS crystal. Source: Alexandria via LeMat-Bulk, functional PBE-GGA.

As for the raw total energy: -6.892 eV per atom. As for the magnetization: 0.0 Bohr magnetons per cell. The calculation puts the density at 5.44 g cm⁻³. As for the formation energy from raw total energies: -0.190 eV per atom.

The structure belongs to space group P6_3/m (No. 176); the cell edges are 8.7782, 8.7782 and 3.6520 Å and the angles 90.00°, 90.00° and 120.00°. The inequivalent atoms are Ru at (0.0861, 0.6412, 0.2500) and S at (0.0729, 0.3728, 0.2500).